Entry 1:
{
  "formula": "Y2CrCu",
  "functional": "PBE-GGA",
  "state": "optimized geometry",
  "dos_ef_per_ev_cell": 5.01,
  "e_form_mev_per_atom": 220,
  "crystal_system": "tetragonal",
  "lattice": [[3.4454, 0.0000, 0.0000], [0.0000, 3.4455, 0.0000], [0.0000, 0.0000, 7.6284]],
  "species": ["Y", "Y", "Cr", "Cu"],
  "fractional_positions": [[0.5000, 0.5000, 0.3016], [0.0000, 0.0000, 0.9386], [0.0000, 0.0000, 0.5552], [0.5000, 0.5000, 0.7046]]
}

Entry 2:
{
  "formula": "ScTl2Ag",
  "functional": "PBE-GGA",
  "state": "optimized geometry",
  "dos_ef_per_ev_cell": 1.55,
  "e_form_mev_per_atom": 13,
  "crystal_system": "cubic",
  "lattice": [[5.0982, 0.0000, 0.0000], [2.5491, 4.4152, 0.0000], [2.5491, 1.4717, 4.1627]],
  "species": ["Tl", "Tl", "Sc", "Ag"],
  "fractional_positions": [[0.7500, 0.7500, 0.7500], [0.0000, 0.0000, 0.0000], [0.2500, 0.2500, 0.2500], [0.5000, 0.5000, 0.5000]]
}

Record order is preserved below.
M_tot: 3.292; 0.000 μB per cell